Arrangement A

This record from the Alexandria database describes an optimized crystal structure of ZnHSe3. The functional is PBE.

Properties
theoretical density	6.0	Mg/m³
density of states at the Fermi level	3.3	states/eV per cell

a = 4.3790 Å, b = 4.3790 Å, c = 4.3790 Å
α = 90.00°, β = 90.00°, γ = 90.00°
Last column: nearest neighbours and their distance in Å.
Space group Pm-3m (No. 221)
Inequivalent atoms, fractional coordinates:
Zn (0.0000, 0.0000, 0.0000) [1 per cell]  12 Se 3.10
H (0.5000, 0.5000, 0.5000) [1 per cell]  6 Se 2.19
Se (0.0000, 0.5000, 0.5000) [3 per cell]  2 H 2.19

---

Arrangement B

This record from the Alexandria database describes an optimized crystal structure of ZnHSe3. The functional is PBE.

Properties
theoretical density	4.1	Mg/m³
density of states at the Fermi level	6.1	states/eV per cell

a = 4.9662 Å, b = 4.9662 Å, c = 4.9662 Å
α = 90.00°, β = 90.00°, γ = 90.00°
Last column: nearest neighbours and their distance in Å.
Space group Pm-3m (No. 221)
Inequivalent atoms, fractional coordinates:
Zn (0.0000, 0.0000, 0.0000) [1 per cell]  6 Se 2.48
H (0.5000, 0.5000, 0.5000) [1 per cell]  12 Se 3.51
Se (0.0000, 0.0000, 0.5000) [3 per cell]  2 Zn 2.48

---

It is arrangement B that is the least stable of them.

---

Arrangement A

This record from the Alexandria database describes an optimized crystal structure of ZrHSe2. The functional is PBE.

Properties
theoretical density	5.3	Mg/m³
density of states at the Fermi level	3.8	states/eV per cell

a = 6.4773 Å, b = 3.7052 Å, c = 6.5637 Å
α = 90.00°, β = 97.86°, γ = 90.00°
Last column: nearest neighbours and their distance in Å.
Space group P2/c (No. 13)
Inequivalent atoms, fractional coordinates:
Zr (0.0000, 0.2460, 0.2500) [2 per cell]  6 Se 2.68-2.79
H (0.5000, 0.0000, 0.0000) [2 per cell]  2 Se 1.77
Se (0.2596, 0.2336, 0.9568) [4 per cell]  1 H 1.77

---

Arrangement B

This record from the Alexandria database describes an optimized crystal structure of ZrHSe2. The functional is PBE.

Properties
theoretical density	5.9	Mg/m³
density of states at the Fermi level	7.4	states/eV per cell

a = 6.2693 Å, b = 6.2693 Å, c = 7.1577 Å
α = 90.00°, β = 90.00°, γ = 90.00°
Last column: nearest neighbours and their distance in Å.
Space group I-42d (No. 122)
Inequivalent atoms, fractional coordinates:
Zr (0.0000, 0.0000, 0.0000) [4 per cell]  4 Se 2.68
H (0.0000, 0.0000, 0.5000) [4 per cell]  4 Se 2.14
Se (0.1841, 0.2500, 0.6250) [8 per cell]  2 H 2.14

---

It is arrangement B that is the least stable of them.

---

Arrangement A

This record from the Alexandria database describes an optimized crystal structure of ZrHSe2. The functional is PBE.

Properties
theoretical density	5.9	Mg/m³
density of states at the Fermi level	7.1	states/eV per cell

a = 6.5631 Å, b = 6.5631 Å, c = 6.5631 Å
α = 90.00°, β = 90.00°, γ = 90.00°
Last column: nearest neighbours and their distance in Å.
Space group Fm-3m (No. 225)
Inequivalent atoms, fractional coordinates:
Zr (0.0000, 0.0000, 0.0000) [4 per cell]  8 Se 2.84
H (0.0000, 0.0000, 0.5000) [4 per cell]  8 Se 2.84
Se (0.2500, 0.2500, 0.2500) [8 per cell]  4 Zr 2.84, 4 H 2.84

---

Arrangement B

This record from the Alexandria database describes an optimized crystal structure of ZrHSe2. The functional is PBE.

Properties
theoretical density	5.0	Mg/m³
density of states at the Fermi level	5.1	states/eV per cell

a = 3.7836 Å, b = 3.7836 Å, c = 20.2987 Å
α = 90.00°, β = 90.00°, γ = 120.00°
Last column: nearest neighbours and their distance in Å.
Space group R-3m (No. 166, hexagonal axes)
Inequivalent atoms, fractional coordinates:
Zr (0.0000, 0.0000, 0.0000) [3 per cell]  6 Se 2.72
H (0.0000, 0.0000, 0.5000) [3 per cell]  2 Se 1.76
Se (0.0000, 0.0000, 0.4133) [6 per cell]  1 H 1.76

---

It is arrangement A that is the least stable of them.

---

Arrangement A

This record from the Alexandria database describes an optimized crystal structure of ZrHSe3. The functional is PBE.

Properties
theoretical density	6.4	Mg/m³
density of states at the Fermi level	4.0	states/eV per cell

a = 4.3948 Å, b = 4.3948 Å, c = 4.3948 Å
α = 90.00°, β = 90.00°, γ = 90.00°
Last column: nearest neighbours and their distance in Å.
Space group Pm-3m (No. 221)
Inequivalent atoms, fractional coordinates:
Zr (0.0000, 0.0000, 0.0000) [1 per cell]  12 Se 3.11
H (0.5000, 0.5000, 0.5000) [1 per cell]  6 Se 2.20
Se (0.0000, 0.5000, 0.5000) [3 per cell]  2 H 2.20

---

Arrangement B

This record from the Alexandria database describes an optimized crystal structure of ZrHSe3. The functional is PBE.

Properties
theoretical density	3.8	Mg/m³
density of states at the Fermi level	4.7	states/eV per cell

a = 5.2450 Å, b = 5.2450 Å, c = 5.2450 Å
α = 90.00°, β = 90.00°, γ = 90.00°
Last column: nearest neighbours and their distance in Å.
Space group Pm-3m (No. 221)
Inequivalent atoms, fractional coordinates:
Zr (0.0000, 0.0000, 0.0000) [1 per cell]  6 Se 2.62
H (0.5000, 0.5000, 0.5000) [1 per cell]  12 Se 3.71
Se (0.0000, 0.0000, 0.5000) [3 per cell]  2 Zr 2.62

---

It is arrangement A that is the least stable of them.

---

Arrangement A

This record from the Alexandria database describes an optimized crystal structure of SiH2. The functional is PBE.

Properties
theoretical density	1.5	Mg/m³
density of states at the Fermi level	1.9	states/eV per cell

a = 6.7135 Å, b = 4.7188 Å, c = 4.3476 Å
α = 90.00°, β = 91.71°, γ = 90.00°
Last column: nearest neighbours and their distance in Å.
Space group C2/m (No. 12)
Inequivalent atoms, fractional coordinates:
Si (0.2486, 0.0000, 0.4339) [4 per cell]  1 H 1.51
H (0.0000, 0.0000, 0.5000) [2 per cell]  2 Si 1.70
H (0.0000, 0.5000, 0.5000) [2 per cell]  2 Si 1.70
H (0.2422, 0.0000, 0.0872) [4 per cell]  1 Si 1.51

---

Arrangement B

This record from the Alexandria database describes an optimized crystal structure of SiH2. The functional is PBE.

Properties
theoretical density	1.6	Mg/m³
density of states at the Fermi level	1.2	states/eV per cell

a = 5.9082 Å, b = 8.4335 Å, c = 2.4443 Å
α = 90.00°, β = 90.00°, γ = 90.00°
Last column: nearest neighbours and their distance in Å.
Space group Cmmm (No. 65)
Inequivalent atoms, fractional coordinates:
Si (0.0000, 0.1408, 0.0000) [4 per cell]  2 H 1.74
H (0.0642, 0.5000, 0.5000) [4 per cell]  1 H 0.76
H (0.2500, 0.2500, 0.0000) [4 per cell]  2 Si 1.74

---

It is arrangement B that is the least stable of them.